Record 1
Density functional theory data (PBE) for an optimized crystal structure of RbHfPbC2.

Calculated values
ΔE_f in eV per atom: 1.336
SG: P4/mmm, No. 123
Mass density in g/cm3: 6.96

Cell and atoms, written as POSCAR:
```
RbHfPbC2
1.0
-3.701 -0.525 2.639
1.350 -5.419 0.815
2.458 1.165 3.679
Pb C Hf Rb
1 2 1 1
Direct
0.000 0.500 0.000 Pb
0.000 0.000 0.500 C
0.500 0.000 0.000 C
0.000 0.000 0.000 Hf
0.500 0.500 0.500 Rb
```

***

Record 2
Density functional theory data (PBE) for an optimized crystal structure of SmBe4Cu8.

Calculated values
ΔE_f in eV per atom: -0.120
SG: I4/mmm, No. 139
Mass density in g/cm3: 7.34

Cell and atoms, written as POSCAR:
```
SmBe4Cu8
1.0
-1.177 -0.706 4.395
-3.355 -5.265 0.667
4.335 -3.385 3.030
Sm Be Cu
1 4 8
Direct
0.000 0.000 0.000 Sm
0.000 0.000 0.500 Be
0.500 0.000 0.500 Be
0.000 0.500 0.000 Be
0.500 0.500 0.000 Be
0.000 0.351 0.649 Cu
0.000 0.649 0.351 Cu
0.351 0.649 0.649 Cu
0.649 0.351 0.351 Cu
0.500 0.774 0.226 Cu
0.500 0.226 0.774 Cu
0.274 0.226 0.226 Cu
0.726 0.774 0.774 Cu
```

***

Record 3
Density functional theory data (PBE) for an optimized crystal structure of HfTaP2S.

Calculated values
Formation energy without anion corrections in eV/atom: 0.671
SG: P4/mmm, No. 123
Excess energy over the best structure of this formula in the dataset in meV/atom: 456
Mass density in g/cm3: 6.61

Cell and atoms, written as POSCAR:
```
HfTaP2S
1.0
4.898 0.000 0.000
0.000 4.898 0.000
0.000 0.000 4.748
P S Hf Ta
2 1 1 1
Direct
0.000 0.500 0.000 P
0.500 0.000 0.000 P
0.000 0.000 0.500 S
0.000 0.000 0.000 Hf
0.500 0.500 0.500 Ta
```

***

Record 4
Density functional theory data (PBE) for an optimized crystal structure of V2CdCuSn.

Calculated values
ΔE_f in eV per atom: 1.640
SG: P4/mmm, No. 123
Mass density in g/cm3: 4.82

Cell and atoms, written as POSCAR:
```
V2CdCuSn
1.0
-4.013 2.940 -1.109
-2.724 -4.259 -1.432
-1.700 -0.518 4.777
V Sn Cu Cd
2 1 1 1
Direct
0.000 0.000 0.500 V
0.500 0.000 0.000 V
0.000 0.500 0.000 Sn
0.500 0.500 0.500 Cu
0.000 0.000 0.000 Cd
```

***

Record 5
Density functional theory data (PBE) for an optimized crystal structure of Tc2PAu.

Calculated values
ΔE_f in eV per atom: 0.184
SG: Pmm2, No. 25
Mass density in g/cm3: 11.23

Cell and atoms, written as POSCAR:
```
Tc2PAu
1.0
2.926 0.000 0.000
0.000 3.745 0.000
0.000 0.000 5.719
Tc P Au
2 1 1
Direct
0.000 0.000 0.001 Tc
0.500 0.500 0.207 Tc
0.500 0.500 0.805 P
0.000 0.000 0.487 Au
```

***

Record 6
Density functional theory data (PBE) for an optimized crystal structure of SrSiPt3.

Calculated values
Formation energy without anion corrections in eV/atom: -0.814
SG: P-1, No. 2
Excess energy over the best structure of this formula in the dataset in meV/atom: 0
Mass density in g/cm3: 12.36

Cell and atoms, written as POSCAR:
```
SrSiPt3
1.0
-0.681 -4.693 2.605
5.802 -1.047 -0.379
3.772 2.431 4.837
Sr Si Pt
2 2 6
Direct
0.345 0.219 0.289 Sr
0.345 0.505 0.714 Sr
0.060 0.744 0.238 Si
0.629 0.980 0.765 Si
0.845 0.362 0.502 Pt
0.203 0.963 0.797 Pt
0.487 0.761 0.206 Pt
0.845 0.862 0.502 Pt
0.845 0.137 0.001 Pt
0.844 0.587 0.002 Pt
```

***

Record 7
Density functional theory data (PBE) for an optimized crystal structure of LaHgC.

Calculated values
ΔE_f in eV per atom: -0.216
SG: C2/m, No. 12
Mass density in g/cm3: 8.84

Cell and atoms, written as POSCAR:
```
LaHgC
1.0
4.655 0.000 0.000
-2.327 4.330 -0.085
0.000 -2.520 6.603
La Hg C
2 2 2
Direct
0.093 0.186 0.813 La
0.907 0.814 0.187 La
0.325 0.650 0.465 Hg
0.675 0.350 0.535 Hg
0.582 0.164 0.033 C
0.418 0.836 0.967 C
```

***

Record 8
Density functional theory data (PBE) for an optimized crystal structure of BeAsCl2.

Calculated values
Formation energy without anion corrections in eV/atom: 0.641
SG: Cmmm, No. 65
Excess energy over the best structure of this formula in the dataset in meV/atom: 1168
Mass density in g/cm3: 3.43

Cell and atoms, written as POSCAR:
```
BeAsCl2
1.0
-2.257 3.195 -3.069
-3.121 -3.825 0.587
-1.316 1.454 2.482
Be As Cl
1 1 2
Direct
0.000 0.500 0.500 Be
0.500 0.000 0.500 As
0.000 0.000 0.000 Cl
0.500 0.500 0.000 Cl
```

***

Record 9
Density functional theory data (PBE) for an optimized crystal structure of PmPuGa2Ir2.

Calculated values
ΔE_f in eV per atom: -0.642
SG: P-3m1, No. 164
Mass density in g/cm3: 12.47

Cell and atoms, written as POSCAR:
```
PmPuGa2Ir2
1.0
4.411 0.000 0.000
-2.205 3.820 0.000
0.000 0.000 7.216
Pm Pu Ga Ir
1 1 2 2
Direct
0.000 0.000 0.000 Pm
0.000 0.000 0.500 Pu
0.667 0.333 0.737 Ga
0.333 0.667 0.263 Ga
0.667 0.333 0.284 Ir
0.333 0.667 0.716 Ir
```

***

Record 10
Density functional theory data (PBE) for an optimized crystal structure of KBa2Ni.

Calculated values
ΔE_f in eV per atom: 0.170
SG: Imm2, No. 44
Excess energy over the best structure of this formula in the dataset in meV/atom: 133
Mass density in g/cm3: 3.11

Cell and atoms, written as POSCAR:
```
KBa2Ni
1.0
11.735 1.050 -0.310
9.767 6.588 0.310
-10.592 -4.268 2.916
Ba K Ni
2 1 1
Direct
0.103 0.103 0.000 Ba
0.758 0.258 0.500 Ba
0.437 0.437 0.000 K
0.201 0.701 0.500 Ni
```

***

Record 11
Density functional theory data (PBE) for an optimized crystal structure of KCdIn2Rh.

Calculated values
ΔE_f in eV per atom: -0.233
SG: P4/mmm, No. 123
Mass density in g/cm3: 5.59

Cell and atoms, written as POSCAR:
```
KCdIn2Rh
1.0
5.175 0.000 0.000
0.000 5.175 0.000
0.000 0.000 5.364
K Cd Rh In
1 1 1 2
Direct
0.500 0.500 0.500 K
0.000 0.000 0.500 Cd
0.000 0.000 0.000 Rh
0.000 0.500 0.000 In
0.500 0.000 0.000 In
```

***

Record 12
Density functional theory data (PBE) for an optimized crystal structure of LiEuSiAg.

Calculated values
Formation energy without anion corrections in eV/atom: -0.218
SG: F-43m, No. 216
Mass density in g/cm3: 6.25

Cell and atoms, written as POSCAR:
```
LiEuSiAg
1.0
4.804 0.000 0.000
2.402 4.160 0.000
2.402 1.387 3.923
Eu Si Ag Li
1 1 1 1
Direct
0.250 0.250 0.250 Eu
0.750 0.750 0.750 Si
0.500 0.500 0.500 Ag
0.000 0.000 0.000 Li
```

***

Record 13
Density functional theory data (PBE) for an optimized crystal structure of CePmPdPt.

Calculated values
ΔE_f in eV per atom: -0.944
SG: Amm2, No. 38
Excess energy over the best structure of this formula in the dataset in meV/atom: 0
Mass density in g/cm3: 10.22

Cell and atoms, written as POSCAR:
```
CePmPdPt
1.0
-0.080 -3.731 -0.897
1.638 0.973 -4.192
5.080 1.315 2.290
Ce Pm Pd Pt
1 1 1 1
Direct
0.864 0.500 0.729 Ce
0.137 0.000 0.274 Pm
0.410 0.000 0.820 Pd
0.588 0.500 0.177 Pt
```

***

Record 14
Density functional theory data (PBE) for an optimized crystal structure of HoAgPd.

Calculated values
ΔE_f in eV per atom: -0.609
SG: Cmcm, No. 63
Excess energy over the best structure of this formula in the dataset in meV/atom: 13
Mass density in g/cm3: 10.41

Cell and atoms, written as POSCAR:
```
HoAgPd
1.0
3.564 0.000 -0.756
0.000 4.581 0.000
-0.277 0.000 7.469
Ho Ag Pd
2 2 2
Direct
0.909 0.750 0.817 Ho
0.091 0.250 0.183 Ho
0.765 0.250 0.531 Ag
0.235 0.750 0.469 Ag
0.429 0.250 0.858 Pd
0.571 0.750 0.142 Pd
```

***

Record 15
Density functional theory data (PBE) for an optimized crystal structure of Zr2Sc6Ti.

Calculated values
ΔE_f in eV per atom: 0.042
SG: P4_2/mnm, No. 136
Mass density in g/cm3: 4.00

Cell and atoms, written as POSCAR:
```
Zr2Sc6Ti
1.0
9.611 0.000 0.000
0.000 4.462 -0.515
0.000 1.103 9.546
Zr Sc Ti
4 12 2
Direct
0.658 0.000 0.157 Zr
0.158 0.500 0.343 Zr
0.842 0.500 0.657 Zr
0.342 0.000 0.843 Zr
0.000 0.000 0.824 Sc
0.324 0.000 0.500 Sc
0.338 0.000 0.162 Sc
0.838 0.500 0.338 Sc
0.824 0.500 0.000 Sc
0.500 0.500 0.676 Sc
0.000 0.000 0.176 Sc
0.676 0.000 0.500 Sc
0.662 0.000 0.838 Sc
0.162 0.500 0.662 Sc
0.176 0.500 0.000 Sc
0.500 0.500 0.324 Sc
0.500 0.500 0.000 Ti
0.000 0.000 0.500 Ti
```

***

Record 16
Density functional theory data (PBE) for an optimized crystal structure of Er4Cd2Pt.

Calculated values
ΔE_f in eV per atom: -0.404
SG: R-3m, No. 166
Mass density in g/cm3: 9.75

Cell and atoms, written as POSCAR:
```
Er4Cd2Pt
1.0
-1.806 -4.687 0.791
2.588 -4.040 -1.684
4.361 -3.277 6.888
Cd Pt Er
2 1 4
Direct
0.755 0.755 0.735 Cd
0.245 0.245 0.265 Cd
0.000 0.000 0.000 Pt
0.879 0.879 0.362 Er
0.121 0.121 0.638 Er
0.628 0.628 0.115 Er
0.372 0.372 0.885 Er
```

***

Record 17
Density functional theory data (PBE) for an optimized crystal structure of Cs3C.

Calculated values
ΔE_f in eV per atom: 1.083
SG: Pm-3m, No. 221
Mass density in g/cm3: 2.36

Cell and atoms, written as POSCAR:
```
Cs3C
1.0
6.612 0.000 0.000
0.000 6.612 0.000
0.000 0.000 6.612
Cs C
3 1
Direct
0.500 0.000 0.000 Cs
0.000 0.500 0.000 Cs
0.000 0.000 0.500 Cs
0.000 0.000 0.000 C
```

***

Record 18
Density functional theory data (PBE) for an optimized crystal structure of YTcPt2I.

Calculated values
Formation energy without anion corrections in eV/atom: 0.354
SG: P4/mmm, No. 123
Mass density in g/cm3: 9.47

Cell and atoms, written as POSCAR:
```
YTcPt2I
1.0
4.857 0.000 0.000
0.000 5.234 0.000
0.000 0.000 4.857
I Y Tc Pt
1 1 1 2
Direct
0.000 0.500 0.000 I
0.500 0.500 0.500 Y
0.000 0.000 0.000 Tc
0.000 0.000 0.500 Pt
0.500 0.000 0.000 Pt
```

***

Fermi-level density of states (computed, states/eV per atom): 0.593, 0.423, 0.982, 1.771, 0.661, 0.454, 0.349, 0.331, 1.498, 0.886, 0.369, 2.827, 1.801, 0.516, 1.253, 0.637, 0.726, 0.854